[1]
# BeCu2MoBr | Alexandria via LeMat-Bulk | PBE | relaxed
# Density of states at the Fermi level in states/eV/cell: 3.0
# Formation energy without anion corrections in eV per atom: 1.6151
# E_tot in eV/atom: -3.27
data_BeCu2MoBr
_symmetry_space_group_name_H-M 'P 4/m m m'
_symmetry_Int_Tables_number 123
_symmetry_space_group_name_Hall '-P 4 2'
_cell_length_a 4.4711
_cell_length_b 4.4711
_cell_length_c 4.7200
_cell_angle_alpha 90.00
_cell_angle_beta 90.00
_cell_angle_gamma 90.00
loop_
_atom_site_label
_atom_site_fract_x
_atom_site_fract_y
_atom_site_fract_z
_atom_site_occupancy
Be1 0.0000 0.0000 0.0000 1
Cu1 0.0000 0.5000 0.5000 1
Mo1 0.5000 0.5000 0.0000 1
Br1 0.5000 0.5000 0.5000 1


[2]
# Pm7Si5Sn | Alexandria via LeMat-Bulk | PBE | relaxed
# Density of states at the Fermi level in states/eV/cell: 19.3
# Formation energy without anion corrections in eV per atom: -0.4473
# E_tot in eV/atom: -5.40
data_Pm7Si5Sn
_symmetry_space_group_name_H-M 'I m m 2'
_symmetry_Int_Tables_number 44
_cell_length_a 6.0799
_cell_length_b 11.1042
_cell_length_c 10.0747
_cell_angle_alpha 90.00
_cell_angle_beta 90.00
_cell_angle_gamma 90.00
loop_
_symmetry_equiv_pos_as_xyz
'x,y,z'
'-x,-y,z'
'-x,y,z'
'x,-y,z'
'x+1/2,y+1/2,z+1/2'
'-x+1/2,-y+1/2,z+1/2'
'-x+1/2,y+1/2,z+1/2'
'x+1/2,-y+1/2,z+1/2'
loop_
_atom_site_label
_atom_site_fract_x
_atom_site_fract_y
_atom_site_fract_z
_atom_site_occupancy
Pm1 0.0000 0.0000 0.0000 1
Pm2 0.0000 0.0000 0.3826 1
Pm3 0.0000 0.3146 0.6649 1
Pm4 0.0000 0.3353 0.0980 1
Pm5 0.0000 0.5000 0.3570 1
Si1 0.0000 0.5000 0.8683 1
Si2 0.2000 0.2595 0.3916 1
Sn1 0.0000 0.0000 0.6885 1


[3]
# HgPW2 | Alexandria via LeMat-Bulk | PBE | relaxed
# Density of states at the Fermi level in states/eV/cell: 6.5
# E_tot in eV/atom: -7.36
# DFT formation energy in eV/atom: 0.5404
data_HgPW2
_symmetry_space_group_name_H-M 'C m m m'
_symmetry_Int_Tables_number 65
_symmetry_space_group_name_Hall '-C 2 2'
_cell_length_a 3.3259
_cell_length_b 4.9694
_cell_length_c 8.1738
_cell_angle_alpha 90.00
_cell_angle_beta 90.00
_cell_angle_gamma 90.00
loop_
_atom_site_label
_atom_site_fract_x
_atom_site_fract_y
_atom_site_fract_z
_atom_site_occupancy
Hg1 0.0000 0.0000 0.0000 1
P1 0.0000 0.0000 0.5000 1
W1 0.0000 0.5000 0.2989 1